# Ac2ErSc | Alexandria | PBE-GGA | optimized geometry
data_Ac2ErSc
_chemical_formula_sum 'Ac6 Er3 Sc3'
_cell_length_a 3.6469
_cell_length_b 3.6469
_cell_length_c 38.0872
_cell_angle_alpha 90.00
_cell_angle_beta 90.00
_cell_angle_gamma 120.00
_space_group_name_H-M_alt 'R -3 m'
_space_group_IT_number 166
_space_group_name_Hall '-R 3 2"'
loop_
_atom_site_label
_atom_site_type_symbol
_atom_site_fract_x
_atom_site_fract_y
_atom_site_fract_z
Ac1 Ac 0.0000 0.0000 0.0865
Er1 Er 0.0000 0.0000 0.5000
Sc1 Sc 0.0000 0.0000 0.0000
# M_tot ... 0.00 μB/f.u.
# Crystal system ... trigonal
# Volume ... 146.2 Å³/f.u.
# Energy relative to the lowest polymorph listed for this composition ... 258 meV per atom
# Density of states at the Fermi level ... 1.85 states/eV per atom

=====

# CeGa2Ni | Alexandria | PBE-GGA | optimized geometry
data_CeGa2Ni
_chemical_formula_sum 'Ce1 Ga2 Ni1'
_cell_length_a 3.070
_cell_length_b 3.070
_cell_length_c 7.266
_cell_angle_alpha 90.00
_cell_angle_beta 90.00
_cell_angle_gamma 90.00
_space_group_name_H-M_alt 'P 4/m m m'
_space_group_IT_number 123
_space_group_name_Hall '-P 4 2'
loop_
_atom_site_label
_atom_site_type_symbol
_atom_site_fract_x
_atom_site_fract_y
_atom_site_fract_z
Ce1 Ce 0.000 0.000 0.000
Ga1 Ga 0.500 0.500 0.311
Ni1 Ni 0.000 0.000 0.500
# M_tot ... 0.47 μB/f.u.
# Crystal system ... tetragonal
# Total energy ... -0.179 hartree per atom
# Volume ... 68.5 Å³/f.u.
# Density of states at the Fermi level ... 0.96 states/eV per atom